1.
Density functional theory data (PBE-GGA) for a geometry-optimized Pm3Y2Ho3 structure.

Lattice parameters (Å, degrees): 5.061 5.070 10.763 103.62 103.60 90.00
Positions (direct):
1 Ho 0.625 0.625 0.251
2 Ho 0.500 0.000 0.000
3 Ho 0.375 0.375 0.749
4 Y 0.751 0.251 0.501
5 Y 0.249 0.749 0.499
6 Pm 0.876 0.876 0.752
7 Pm 0.000 0.500 0.000
8 Pm 0.124 0.124 0.248

Calculated values
- space-group type = No. 71
- E above lowest polymorph (meV per atom) = 2
- magnetization (μB per formula unit) = 0.0
- formation enthalpy at 0 K (eV per formula unit) = 0.2

2.
Density functional theory data (PBE-GGA) for a geometry-optimized ScTc2Pb structure.

Lattice parameters (Å, degrees): 9.270 9.270 9.270 19.53 19.53 19.53
Positions (direct):
1 Tc 0.262 0.262 0.262
2 Tc 0.994 0.994 0.994
3 Sc 0.738 0.738 0.738
4 Pb 0.506 0.506 0.506

Calculated values
- space-group type = No. 160
- E above lowest polymorph (meV per atom) = 277
- magnetization (μB per formula unit) = 0.0
- formation enthalpy at 0 K (eV per formula unit) = 1.0

3.
Density functional theory data (PBE-GGA) for a geometry-optimized Nd12Dy6Er structure.

Lattice parameters (Å, degrees): 8.688 8.688 8.688 88.96 88.96 88.96
Positions (direct):
1 Dy 0.902 0.297 0.741
2 Dy 0.703 0.259 0.098
3 Dy 0.741 0.902 0.297
4 Dy 0.297 0.741 0.902
5 Dy 0.098 0.703 0.259
6 Dy 0.259 0.098 0.703
7 Nd 0.018 0.194 0.362
8 Nd 0.463 0.567 0.219
9 Nd 0.219 0.463 0.567
10 Nd 0.362 0.018 0.194
11 Nd 0.781 0.537 0.433
12 Nd 0.806 0.638 0.982
13 Nd 0.433 0.781 0.537
14 Nd 0.982 0.806 0.638
15 Nd 0.638 0.982 0.806
16 Nd 0.567 0.219 0.463
17 Nd 0.537 0.433 0.781
18 Nd 0.194 0.362 0.018
19 Er 0.000 0.000 0.000

Calculated values
- space-group type = No. 148
- E above lowest polymorph (meV per atom) = 0
- magnetization (μB per formula unit) = 0.0
- formation enthalpy at 0 K (eV per formula unit) = 2.5

4.
Density functional theory data (PBE-GGA) for a geometry-optimized PWAuS2 structure.

Lattice parameters (Å, degrees): 4.769 4.769 4.691 90.00 90.00 90.00
Last column: magnetic moment on the atom in μB.
Positions (direct):
1 W 0.500 0.500 0.500  2.67
2 P 0.000 0.000 0.500  -0.34
3 S 0.500 0.000 0.000  -0.22
4 S 0.000 0.500 0.000  -0.22
5 Au 0.000 0.000 0.000  -0.04

Calculated values
- space-group type = No. 123
- E above lowest polymorph (meV per atom) = 1133
- magnetization (μB per formula unit) = 2.1

5.
Density functional theory data (PBE-GGA) for a geometry-optimized KAg3Pd2 structure.

Lattice parameters (Å, degrees): 5.612 5.612 10.536 74.55 74.55 60.00
Positions (direct):
1 K 0.194 0.194 0.418
2 K 0.806 0.806 0.582
3 Ag 0.756 0.756 0.232
4 Ag 0.756 0.256 0.232
5 Ag 0.256 0.756 0.232
6 Ag 0.244 0.244 0.768
7 Ag 0.244 0.744 0.768
8 Ag 0.744 0.244 0.768
9 Pd 0.500 0.000 0.000
10 Pd 0.500 0.500 0.000
11 Pd 0.000 0.500 0.000
12 Pd 0.000 0.000 0.000

Calculated values
- space-group type = No. 166
- E above lowest polymorph (meV per atom) = 75
- magnetization (μB per formula unit) = 0.0
- formation enthalpy at 0 K (eV per formula unit) = 0.4

6.
Density functional theory data (PBE-GGA) for a geometry-optimized CsH6N2Cl structure.

Lattice parameters (Å, degrees): 7.578 7.578 6.653 100.71 100.71 123.66
Positions (direct):
1 H 0.036 0.150 0.173
2 H 0.396 0.203 0.874
3 H 0.797 0.604 0.626
4 H 0.677 0.692 0.289
5 H 0.308 0.323 0.211
6 H 0.150 0.036 0.673
7 H 0.203 0.396 0.374
8 H 0.692 0.677 0.789
9 H 0.604 0.797 0.126
10 H 0.964 0.850 0.827
11 H 0.323 0.308 0.711
12 H 0.850 0.964 0.327
13 Cs 0.214 0.786 0.250
14 Cs 0.786 0.214 0.750
15 N 0.683 0.831 0.287
16 N 0.317 0.169 0.713
17 N 0.169 0.317 0.213
18 N 0.831 0.683 0.787
19 Cl 0.659 0.341 0.250
20 Cl 0.341 0.659 0.750

Calculated values
- space-group type = No. 15
- magnetization (μB per formula unit) = 0.0
- calculated total energy (eV per atom) = -4.598

7.
Density functional theory data (PBE-GGA) for a geometry-optimized LiBeCu3 structure.

Lattice parameters (Å, degrees): 4.870 4.870 7.134 70.04 70.04 60.00
Positions (direct):
1 Cu 0.385 0.385 0.341
2 Cu 0.615 0.615 0.659
3 Cu 0.385 0.889 0.341
4 Cu 0.111 0.615 0.659
5 Cu 0.615 0.111 0.659
6 Cu 0.889 0.385 0.341
7 Be 0.113 0.113 0.661
8 Be 0.887 0.887 0.339
9 Li 0.666 0.666 0.003
10 Li 0.334 0.334 0.997

Calculated values
- space-group type = No. 166
- E above lowest polymorph (meV per atom) = 133
- magnetization (μB per formula unit) = 0.0
- formation enthalpy at 0 K (eV per formula unit) = 0.5

8.
Density functional theory data (PBE-GGA) for a geometry-optimized RbZnSb2Cl structure.

Lattice parameters (Å, degrees): 8.123 6.013 8.123 90.00 90.00 90.00
Last column: magnetic moment on the atom in μB.
Positions (direct):
1 Sb 0.500 0.000 0.000  1.05
2 Sb 0.000 0.000 0.500  1.06
3 Zn 0.500 0.500 0.500  0.03
4 Rb 0.000 0.000 0.000  0.02
5 Cl 0.000 0.500 0.000  0.04

Calculated values
- space-group type = No. 123
- magnetization (μB per formula unit) = 6.0
- calculated total energy (eV per atom) = -1.794

9.
Density functional theory data (PBE-GGA) for a geometry-optimized Ca4SiN structure.

Lattice parameters (Å, degrees): 4.781 6.818 9.705 90.00 104.26 90.00
Last column: magnetic moment on the atom in μB.
Positions (direct):
1 N 0.094 0.750 0.188  0.01
2 N 0.906 0.250 0.812  0.01
3 Ca 0.827 0.507 0.655  0.05
4 Ca 0.000 0.500 0.000  0.02
5 Ca 0.827 0.993 0.655  0.05
6 Ca 0.173 0.007 0.345  0.05
7 Ca 0.584 0.750 0.167  0.04
8 Ca 0.416 0.250 0.833  0.04
9 Ca 0.173 0.493 0.345  0.05
10 Ca 0.000 0.000 0.000  0.02
11 Si 0.404 0.750 0.808  0.03
12 Si 0.596 0.250 0.192  0.03

Calculated values
- space-group type = No. 63
- E above lowest polymorph (meV per atom) = 0
- magnetization (μB per formula unit) = 1.0

10.
Density functional theory data (PBE-GGA) for a geometry-optimized Nd2Al3Os structure.

Lattice parameters (Å, degrees): 5.618 5.618 5.506 90.01 120.66 119.99
Positions (direct):
1 Nd 0.746 0.374 0.120
2 Nd 0.254 0.626 0.880
3 Os 0.000 0.000 0.000
4 Al 0.500 0.000 0.500
5 Al 0.500 0.500 0.500
6 Al 0.000 0.000 0.500

Calculated values
- space-group type = No. 166
- magnetization (μB per formula unit) = 0.0
- formation enthalpy at 0 K (eV per formula unit) = -2.5

11.
Density functional theory data (PBE-GGA) for a geometry-optimized Nd3SnAs structure.

Lattice parameters (Å, degrees): 4.433 8.680 15.822 90.00 90.00 90.00
Last column: magnetic moment on the atom in μB.
Positions (direct):
1 Nd 0.250 0.351 0.531  0.06
2 Nd 0.250 0.851 0.969  0.06
3 Nd 0.250 0.982 0.391  0.10
4 Nd 0.750 0.649 0.469  0.06
5 Nd 0.750 0.518 0.891  0.10
6 Nd 0.250 0.172 0.783  0.07
7 Nd 0.750 0.328 0.283  0.07
8 Nd 0.750 0.828 0.217  0.07
9 Nd 0.750 0.149 0.031  0.06
10 Nd 0.250 0.672 0.717  0.07
11 Nd 0.250 0.482 0.109  0.10
12 Nd 0.750 0.018 0.609  0.10
13 Sn 0.750 0.393 0.686  -0.01
14 Sn 0.250 0.107 0.186  -0.01
15 Sn 0.250 0.607 0.314  -0.01
16 Sn 0.750 0.893 0.814  -0.01
17 As 0.750 0.188 0.447  -0.01
18 As 0.750 0.688 0.053  -0.01
19 As 0.250 0.312 0.947  -0.01
20 As 0.250 0.812 0.553  -0.01

Calculated values
- space-group type = No. 62
- magnetization (μB per formula unit) = 0.6
- formation enthalpy at 0 K (eV per formula unit) = -4.7

12.
Density functional theory data (PBE-GGA) for a geometry-optimized SrReI2 structure.

Lattice parameters (Å, degrees): 5.440 5.440 5.440 60.00 60.00 60.00
Last column: magnetic moment on the atom in μB.
Positions (direct):
1 Sr 0.000 0.000 0.000  0.01
2 I 0.750 0.750 0.750  0.08
3 I 0.250 0.250 0.250  0.08
4 Re 0.500 0.500 0.500  2.54

Calculated values
- space-group type = No. 225
- E above lowest polymorph (meV per atom) = 68
- magnetization (μB per formula unit) = 3.3

13.
Density functional theory data (PBE-GGA) for a geometry-optimized AgHg2Pd structure.

Lattice parameters (Å, degrees): 3.173 3.173 9.217 80.09 80.09 60.00
Positions (direct):
1 Pd 0.667 0.667 0.999
2 Hg 0.253 0.253 0.240
3 Hg 0.080 0.080 0.760
4 Ag 0.500 0.500 0.501

Calculated values
- space-group type = No. 160
- E above lowest polymorph (meV per atom) = 23
- magnetization (μB per formula unit) = 0.0
- formation enthalpy at 0 K (eV per formula unit) = 0.0

14.
Density functional theory data (PBE-GGA) for a geometry-optimized Tb3Tl3Ag2 structure.

Lattice parameters (Å, degrees): 3.793 7.923 7.923 120.00 90.00 90.00
Positions (direct):
1 Tl 0.000 0.755 0.755
2 Tl 0.000 0.245 0.000
3 Tl 0.000 0.000 0.245
4 Tb 0.500 0.397 0.397
5 Tb 0.500 0.000 0.603
6 Tb 0.500 0.603 0.000
7 Ag 0.000 0.333 0.667
8 Ag 0.000 0.667 0.333

Calculated values
- space-group type = No. 189
- E above lowest polymorph (meV per atom) = 0
- magnetization (μB per formula unit) = 0.0
- formation enthalpy at 0 K (eV per formula unit) = -2.3

15.
Density functional theory data (PBE-GGA) for a geometry-optimized SnPt2Pb2 structure.

Lattice parameters (Å, degrees): 4.465 4.465 6.965 71.30 71.30 90.00
Positions (direct):
1 Pt 0.605 0.605 0.791
2 Pt 0.395 0.395 0.209
3 Pb 0.750 0.250 0.500
4 Pb 0.250 0.750 0.500
5 Sn 0.000 0.000 0.000

Calculated values
- space-group type = No. 139
- magnetization (μB per formula unit) = 0.0
- formation enthalpy at 0 K (eV per formula unit) = 0.4

16.
Density functional theory data (PBE-GGA) for a geometry-optimized Sm2YHo3Te6 structure.

Lattice parameters (Å, degrees): 4.351 8.814 9.805 103.43 102.82 90.00
Positions (direct):
1 Ho 0.170 0.834 0.339
2 Ho 0.500 0.500 0.000
3 Ho 0.830 0.166 0.661
4 Sm 0.831 0.664 0.663
5 Sm 0.169 0.336 0.337
6 Te 0.664 0.589 0.327
7 Te 0.003 0.750 0.005
8 Te 0.334 0.923 0.668
9 Te 0.336 0.411 0.673
10 Te 0.997 0.250 0.995
11 Te 0.666 0.077 0.332
12 Y 0.500 0.000 0.000

Calculated values
- space-group type = No. 12
- magnetization (μB per formula unit) = 0.0
- calculated total energy (eV per atom) = -5.344

17.
Density functional theory data (PBE-GGA) for a geometry-optimized Er2PuZn2Rh5 structure.

Lattice parameters (Å, degrees): 3.710 9.722 9.722 90.00 90.00 90.00
Last column: magnetic moment on the atom in μB.
Positions (direct):
1 Er 0.000 0.170 0.330  0.05
2 Er 0.000 0.330 0.830  0.05
3 Er 0.000 0.830 0.670  0.05
4 Er 0.000 0.670 0.170  0.05
5 Pu 0.000 0.000 0.000  4.57
6 Pu 0.000 0.500 0.500  4.57
7 Rh 0.500 0.000 0.500  -0.03
8 Rh 0.500 0.571 0.704  -0.15
9 Rh 0.500 0.429 0.296  -0.15
10 Rh 0.500 0.296 0.571  -0.15
11 Rh 0.500 0.204 0.071  -0.15
12 Rh 0.500 0.071 0.796  -0.15
13 Rh 0.500 0.500 0.000  -0.03
14 Rh 0.500 0.704 0.429  -0.15
15 Rh 0.500 0.929 0.204  -0.15
16 Rh 0.500 0.796 0.929  -0.15
17 Zn 0.000 0.375 0.125  0.01
18 Zn 0.000 0.875 0.375  0.01
19 Zn 0.000 0.125 0.625  0.01
20 Zn 0.000 0.625 0.875  0.01

Calculated values
- space-group type = No. 127
- magnetization (μB per formula unit) = 4.3
- formation enthalpy at 0 K (eV per formula unit) = -6.4

18.
Density functional theory data (PBE-GGA) for a geometry-optimized CaGdNiRh structure.

Lattice parameters (Å, degrees): 4.852 4.852 4.852 60.00 60.00 60.00
Last column: magnetic moment on the atom in μB.
Positions (direct):
1 Ni 0.250 0.250 0.250  -0.08
2 Ca 0.500 0.500 0.500  0.01
3 Rh 0.750 0.750 0.750  -0.08
4 Gd 0.000 0.000 0.000  7.02

Calculated values
- space-group type = No. 216
- magnetization (μB per formula unit) = 7.0
- formation enthalpy at 0 K (eV per formula unit) = -1.5

19.
Density functional theory data (PBE-GGA) for a geometry-optimized Nd5HoAg6 structure.

Lattice parameters (Å, degrees): 5.304 7.397 8.403 90.00 71.60 90.00
Positions (direct):
1 Ho 0.000 0.000 0.000
2 Ag 0.162 0.756 0.675
3 Ag 0.500 0.241 0.000
4 Ag 0.500 0.759 0.000
5 Ag 0.162 0.244 0.675
6 Ag 0.838 0.756 0.325
7 Ag 0.838 0.244 0.325
8 Nd 0.334 0.000 0.331
9 Nd 0.666 0.000 0.669
10 Nd 0.000 0.500 0.000
11 Nd 0.668 0.500 0.663
12 Nd 0.332 0.500 0.337

Calculated values
- space-group type = No. 65
- magnetization (μB per formula unit) = 0.0
- formation enthalpy at 0 K (eV per formula unit) = -3.2

20.
Density functional theory data (PBE-GGA) for a geometry-optimized NbCu2Sb structure.

Lattice parameters (Å, degrees): 4.009 4.007 4.007 90.00 90.00 90.00
Positions (direct):
1 Cu 0.000 0.500 0.000
2 Cu 0.000 0.000 0.500
3 Nb 0.500 0.500 0.500
4 Sb 0.500 0.000 0.000

Calculated values
- space-group type = No. 123
- magnetization (μB per formula unit) = 0.0
- calculated total energy (eV per atom) = -5.562